Entry 1:
12
Lattice="-3.899 -0.569 -0.806 0.336 -6.501 -7.062 -1.943 -8.384 5.282" Properties=species:S:1:pos:R:3 comment="Ho2SiBr3 PBE-GGA relaxed" spacegroup="C2/m, No. 12" total_magnetization_mub_per_fu=0.00 formation_energy_uncorrected_ev_per_atom=-1.313 pbc="T T T"
Ho -4.850 -10.173 0.544
Ho -0.656 -5.281 -3.130
Ho -3.395 -6.461 0.917
Ho -2.111 -8.993 -3.503
Si -2.749 -8.690 -0.631
Si -2.757 -6.763 -1.955
Br -1.628 -7.390 3.058
Br -3.878 -8.063 -5.644
Br -4.302 -12.932 -0.157
Br -1.204 -2.522 -2.429
Br -3.856 -11.248 -3.506
Br -1.651 -4.206 0.920

***

Entry 2:
12
Lattice="-1.106 6.818 1.027 -6.496 2.379 0.950 -1.569 1.720 10.627" Properties=species:S:1:pos:R:3 comment="KMgAl2Br8 PBE-GGA relaxed" spacegroup="R-3, No. 148" total_magnetization_mub_per_fu=0.98 formation_energy_uncorrected_ev_per_atom=-1.131 pbc="T T T"
K -4.586 5.458 6.302
Mg 0.000 0.000 0.000
Al -2.284 2.717 3.237
Al -6.887 8.199 9.367
Br -2.063 2.408 5.527
Br -2.830 4.958 2.832
Br -7.109 8.508 7.078
Br -5.093 8.132 3.479
Br -4.078 2.784 9.125
Br -6.748 4.558 3.157
Br -2.424 6.358 9.447
Br -6.341 5.958 9.772

***

Entry 3:
3
Lattice="-0.043 0.597 4.079 3.517 -2.613 0.420 0.534 4.324 -0.627" Properties=species:S:1:pos:R:3 comment="PdPbSe PBE-GGA relaxed" spacegroup="P3m1, No. 156" total_magnetization_mub_per_fu=0.00 formation_energy_uncorrected_ev_per_atom=-0.357 pbc="T T T"
Pb 2.493 0.108 2.864
Se 1.520 2.116 0.435
Pd -0.006 0.084 0.573

***

Entry 4:
7
Lattice="-1.647 -2.574 1.174 3.763 1.054 7.589 -2.921 4.761 1.774" Properties=species:S:1:pos:R:3 comment="SnHg4N2 PBE-GGA relaxed" spacegroup="C2/m, No. 12" total_magnetization_mub_per_fu=0.00 formation_energy_uncorrected_ev_per_atom=0.540 pbc="T T T"
Sn 0.000 0.000 0.000
Hg 1.686 1.193 4.980
Hg -2.491 2.049 5.558
Hg 0.876 2.698 7.142
Hg -1.682 0.544 3.396
N -0.853 -0.699 1.836
N 0.047 3.940 8.702

***

Entry 5:
20
Lattice="-1.014 -6.548 4.066 7.316 1.219 3.788 -5.168 5.894 8.084" Properties=species:S:1:pos:R:3 comment="Ba6As2PN PBE-GGA relaxed" spacegroup="P2_1/c, No. 14" total_magnetization_mub_per_fu=0.00 formation_energy_uncorrected_ev_per_atom=-0.874 pbc="T T T"
Ba 4.354 -0.752 4.229
Ba 2.332 -0.901 10.857
Ba -3.219 1.318 11.709
Ba -1.197 1.467 5.081
Ba 2.572 1.292 7.498
Ba 0.162 1.079 13.925
Ba -1.437 -0.727 8.440
Ba 0.972 -0.513 2.012
Ba 1.949 -3.703 7.577
Ba 2.736 2.995 11.069
Ba -0.815 4.269 8.361
Ba -1.601 -2.429 4.869
As 5.451 2.437 5.638
As -0.210 1.682 10.382
As -4.316 -1.871 10.300
As 1.345 -1.117 5.556
P -0.507 -3.274 2.033
P 1.074 3.557 5.936
N -3.091 -0.327 6.075
N 3.658 0.610 1.894

***

Entry 6:
12
Lattice="7.934 0.000 0.000 -3.967 6.871 0.000 0.000 0.000 7.771" Properties=species:S:1:pos:R:3 comment="Li2AcMgBr8 PBE-GGA relaxed" spacegroup="P-3, No. 147" total_magnetization_mub_per_fu=1.09 formation_energy_uncorrected_ev_per_atom=-1.374 pbc="T T T"
Li 3.967 2.290 1.558
Li 0.000 4.581 6.213
Ac 0.000 0.000 0.000
Mg 0.000 0.000 3.885
Br 0.000 4.581 0.889
Br 1.660 1.343 2.230
Br 5.941 0.767 2.230
Br 3.967 2.290 6.882
Br -1.974 6.105 5.541
Br 2.307 5.529 5.541
Br -0.333 2.109 5.541
Br 4.300 4.762 2.230

***

Entry 7:
15
Lattice="5.983 0.000 0.000 -2.991 5.181 0.000 0.000 0.000 7.346" Properties=species:S:1:pos:R:3 comment="Rb3DyTa2O9 PBE-GGA relaxed" spacegroup="P-3m1, No. 164" total_magnetization_mub_per_fu=2.05 formation_energy_uncorrected_ev_per_atom=-2.406 pbc="T T T"
Rb 0.000 3.454 4.892
Rb 0.000 0.000 0.000
Rb 2.991 1.727 2.454
Dy 0.000 0.000 3.673
Ta 0.000 3.454 1.231
Ta 2.991 1.727 6.115
O 4.391 0.919 5.038
O 2.991 3.343 5.038
O 1.592 0.919 5.038
O 1.400 4.262 2.308
O 0.000 1.838 2.308
O -1.400 4.262 2.308
O 2.991 0.000 0.000
O -1.496 2.591 0.000
O 1.496 2.591 0.000

***

Entry 8:
19
Lattice="-5.540 4.787 -5.851 -4.950 -6.251 4.925 4.658 5.807 5.694" Properties=species:S:1:pos:R:3 comment="Pr12Tl6In PBE-GGA relaxed" spacegroup="R-3, No. 148" total_magnetization_mub_per_fu=0.00 e_form_kj_per_mol_fu=-410 pbc="T T T"
Pr -5.313 2.767 1.602
Pr -3.824 1.388 4.680
Pr -2.582 4.572 3.299
Pr -0.520 1.576 3.166
Pr -2.008 2.955 0.088
Pr -3.250 -0.229 1.470
Pr -7.932 0.758 0.258
Pr -4.172 -3.270 3.084
Pr -3.674 3.964 -2.897
Pr 2.099 3.585 4.511
Pr -1.661 7.613 1.684
Pr -2.159 0.379 7.665
Tl -6.176 -0.349 3.173
Tl -4.717 0.982 -1.214
Tl -1.640 -1.197 4.535
Tl 0.343 4.693 1.596
Tl -1.116 3.361 5.982
Tl -4.193 5.540 0.234
In 0.000 0.000 0.000

***

Summary of density in g cm⁻³
5.36 2.94 9.42 10.15 4.64 3.54 6.74 8.42
(order as listed above)